An optimized crystal structure of Li2InFeO4, computed with PBE with a Hubbard U.

Cell: 6.188 6.188 6.266 Å, 120.42 120.42 90.21°
Atoms (fractional coordinates):
O 0.262 0.737 0.499
Li 0.500 0.000 0.500
O 0.738 0.263 0.501
Fe 0.000 0.000 0.000
In 0.000 0.500 0.000
Li 0.500 0.000 0.000
O 0.250 0.250 0.022
O 0.237 0.762 0.999
O 0.763 0.238 0.001
Li 0.000 0.000 0.500
O 0.750 0.750 0.978
O 0.750 0.750 0.522
In 0.000 0.500 0.500
Li 0.500 0.500 0.000
O 0.250 0.250 0.478
Fe 0.500 0.500 0.500

Computed properties:
Magnetic moment ... 5.0 μB/f.u.
Calculated volume ... 167.2 Å³/cell
Uncorrected energy ... -5.70 eV/atom